No. 1
The following is a DFT calculation (PBE-GGA) of an optimized crystal structure of Na3CuPCO7. Values from VASP.

Summary:
E above lowest polymorph   0.0186 eV/atom
DOS(E_F)   0.06 states/eV per atom
ρ   2.989 Mg/m³
Space-group type   P2_1 (4)
Formation energy without anion corrections   -1.745 eV per atom
Size of the total moment   0.079 μB/atom

Quantum ESPRESSO input file:
```
&SYSTEM
  ibrav = 0, nat = 26, ntyp = 5
/
ATOMIC_SPECIES
Na 22.99 Na.upf
Cu 63.55 Cu.upf
P 30.97 P.upf
C 12.01 C.upf
O 16.00 O.upf
ATOMIC_POSITIONS crystal
Na 0.016 0.000 0.014
Na 0.429 0.327 0.200
Na 0.442 0.930 0.439
Na 0.558 0.430 0.561
Na 0.571 0.827 0.800
Na 0.984 0.500 0.986
Cu 0.083 0.225 0.707
Cu 0.917 0.725 0.293
P 0.038 0.720 0.643
P 0.962 0.220 0.357
C 0.478 0.235 0.888
C 0.522 0.735 0.112
O 0.015 0.415 0.259
O 0.053 0.024 0.272
O 0.131 0.233 0.501
O 0.243 0.252 0.916
O 0.311 0.708 0.615
O 0.355 0.753 0.009
O 0.480 0.695 0.245
O 0.520 0.195 0.755
O 0.645 0.253 0.991
O 0.689 0.208 0.385
O 0.757 0.752 0.084
O 0.869 0.733 0.499
O 0.947 0.524 0.728
O 0.985 0.915 0.741
CELL_PARAMETERS angstrom
5.453 0.000 0.000
0.000 6.355 0.000
-0.684 0.000 9.218
```

=====

No. 2
The following is a DFT calculation (PBE-GGA) of an optimized crystal structure of Na6Cu2C4SO16. Values from VASP.

Summary:
DOS(E_F)   0.46 states/eV per atom
ρ   2.902 Mg/m³
Space-group type   Fd-3 (203)
Formation energy without anion corrections   -1.493 eV per atom
Size of the total moment   0.069 μB/atom

Quantum ESPRESSO input file:
```
&SYSTEM
  ibrav = 0, nat = 58, ntyp = 5
/
ATOMIC_SPECIES
Na 22.99 Na.upf
Cu 63.55 Cu.upf
C 12.01 C.upf
S 32.06 S.upf
O 16.00 O.upf
ATOMIC_POSITIONS crystal
Na 0.092 0.092 0.658
Na 0.092 0.658 0.092
Na 0.092 0.658 0.658
Na 0.342 0.342 0.908
Na 0.342 0.908 0.342
Na 0.342 0.908 0.908
Na 0.658 0.092 0.092
Na 0.658 0.092 0.658
Na 0.658 0.658 0.092
Na 0.908 0.342 0.342
Na 0.908 0.342 0.908
Na 0.908 0.908 0.342
Cu 0.000 0.500 0.500
Cu 0.500 0.000 0.500
Cu 0.500 0.500 0.000
Cu 0.500 0.500 0.500
C 0.282 0.282 0.282
C 0.282 0.282 0.655
C 0.282 0.655 0.282
C 0.345 0.718 0.718
C 0.655 0.282 0.282
C 0.718 0.345 0.718
C 0.718 0.718 0.345
C 0.718 0.718 0.718
S 0.125 0.125 0.125
S 0.875 0.875 0.875
O 0.063 0.063 0.063
O 0.063 0.063 0.310
O 0.063 0.310 0.063
O 0.140 0.303 0.399
O 0.140 0.399 0.658
O 0.140 0.658 0.303
O 0.303 0.140 0.658
O 0.303 0.399 0.140
O 0.303 0.658 0.399
O 0.310 0.063 0.063
O 0.342 0.601 0.697
O 0.342 0.697 0.860
O 0.342 0.860 0.601
O 0.399 0.140 0.303
O 0.399 0.303 0.658
O 0.399 0.658 0.140
O 0.601 0.342 0.860
O 0.601 0.697 0.342
O 0.601 0.860 0.697
O 0.658 0.140 0.399
O 0.658 0.303 0.140
O 0.658 0.399 0.303
O 0.690 0.937 0.937
O 0.697 0.342 0.601
O 0.697 0.601 0.860
O 0.697 0.860 0.342
O 0.860 0.342 0.697
O 0.860 0.601 0.342
O 0.860 0.697 0.601
O 0.937 0.690 0.937
O 0.937 0.937 0.690
O 0.937 0.937 0.937
CELL_PARAMETERS angstrom
0.000 7.007 7.007
7.007 0.000 7.007
7.007 7.007 0.000
```

=====

No. 3
The following is a DFT calculation (PBE-GGA) of an optimized crystal structure of Na3CuCSO7. Values from VASP.

Summary:
DOS(E_F)   0.00 states/eV per atom
ρ   2.706 Mg/m³
Space-group type   P2_1/m (11)
Formation energy without anion corrections   -1.515 eV per atom
Size of the total moment   0.002 μB/atom

Quantum ESPRESSO input file:
```
&SYSTEM
  ibrav = 0, nat = 26, ntyp = 5
/
ATOMIC_SPECIES
Na 22.99 Na.upf
Cu 63.55 Cu.upf
C 12.01 C.upf
S 32.06 S.upf
O 16.00 O.upf
ATOMIC_POSITIONS crystal
Na 0.161 0.003 0.277
Na 0.161 0.497 0.277
Na 0.338 0.750 0.926
Na 0.662 0.250 0.074
Na 0.839 0.503 0.723
Na 0.839 0.997 0.723
Cu 0.350 0.250 0.660
Cu 0.650 0.750 0.340
C 0.168 0.250 0.955
C 0.832 0.750 0.045
S 0.321 0.750 0.593
S 0.679 0.250 0.407
O 0.052 0.750 0.109
O 0.166 0.750 0.450
O 0.204 0.250 0.102
O 0.273 0.588 0.686
O 0.273 0.912 0.686
O 0.366 0.250 0.874
O 0.405 0.250 0.444
O 0.595 0.750 0.556
O 0.634 0.750 0.126
O 0.727 0.088 0.314
O 0.727 0.412 0.314
O 0.796 0.750 0.898
O 0.834 0.250 0.550
O 0.948 0.250 0.891
CELL_PARAMETERS angstrom
5.394 0.000 0.000
0.000 7.433 0.000
-0.420 0.000 8.834
```

=====

No. 4
The following is a DFT calculation (PBE-GGA) of an optimized crystal structure of Na2CuCSO7. Values from VASP.

Summary:
ρ   2.745 Mg/m³
Space-group type   P2_1/m (11)
Formation energy without anion corrections   -1.458 eV per atom
Size of the total moment   0.080 μB/atom

Quantum ESPRESSO input file:
```
&SYSTEM
  ibrav = 0, nat = 24, ntyp = 5
/
ATOMIC_SPECIES
Na 22.99 Na.upf
Cu 63.55 Cu.upf
C 12.01 C.upf
S 32.06 S.upf
O 16.00 O.upf
ATOMIC_POSITIONS crystal
Na 0.245 0.004 0.269
Na 0.245 0.496 0.269
Na 0.755 0.504 0.731
Na 0.755 0.996 0.731
Cu 0.215 0.250 0.862
Cu 0.785 0.750 0.138
C 0.270 0.250 0.583
C 0.730 0.750 0.417
S 0.281 0.750 0.906
S 0.719 0.250 0.094
O 0.039 0.250 0.648
O 0.159 0.750 0.063
O 0.205 0.584 0.820
O 0.205 0.916 0.820
O 0.300 0.250 0.439
O 0.420 0.250 0.065
O 0.468 0.250 0.686
O 0.532 0.750 0.314
O 0.580 0.750 0.935
O 0.700 0.750 0.561
O 0.795 0.084 0.180
O 0.795 0.416 0.180
O 0.841 0.250 0.937
O 0.961 0.750 0.352
CELL_PARAMETERS angstrom
5.062 0.000 0.000
0.000 7.352 0.000
-0.290 0.000 8.634
```

=====

No. 5
The following is a DFT calculation (PBE-GGA) of an optimized crystal structure of Na4Cu2C4SO16. Values from VASP.

Summary:
DOS(E_F)   0.36 states/eV per atom
ρ   2.732 Mg/m³
Space-group type   Fddd (70)
Formation energy without anion corrections   -1.323 eV per atom
Size of the total moment   0.154 μB/atom

Quantum ESPRESSO input file:
```
&SYSTEM
  ibrav = 0, nat = 54, ntyp = 5
/
ATOMIC_SPECIES
Na 22.99 Na.upf
Cu 63.55 Cu.upf
C 12.01 C.upf
S 32.06 S.upf
O 16.00 O.upf
ATOMIC_POSITIONS crystal
Na 0.086 0.664 0.086
Na 0.086 0.664 0.664
Na 0.336 0.914 0.336
Na 0.336 0.914 0.914
Na 0.664 0.086 0.086
Na 0.664 0.086 0.664
Na 0.914 0.336 0.336
Na 0.914 0.336 0.914
Cu 0.000 0.500 0.500
Cu 0.500 0.000 0.500
Cu 0.500 0.500 0.000
Cu 0.500 0.500 0.500
C 0.283 0.641 0.288
C 0.288 0.288 0.283
C 0.288 0.288 0.641
C 0.359 0.717 0.712
C 0.641 0.283 0.288
C 0.712 0.712 0.359
C 0.712 0.712 0.717
C 0.717 0.359 0.712
S 0.125 0.125 0.125
S 0.875 0.875 0.875
O 0.058 0.311 0.065
O 0.065 0.066 0.058
O 0.066 0.065 0.311
O 0.142 0.406 0.302
O 0.145 0.309 0.648
O 0.146 0.636 0.409
O 0.302 0.649 0.142
O 0.309 0.145 0.399
O 0.309 0.409 0.636
O 0.311 0.058 0.066
O 0.351 0.698 0.594
O 0.352 0.601 0.855
O 0.364 0.854 0.691
O 0.399 0.648 0.309
O 0.406 0.142 0.649
O 0.409 0.309 0.146
O 0.591 0.691 0.854
O 0.594 0.858 0.351
O 0.601 0.352 0.691
O 0.636 0.146 0.309
O 0.648 0.399 0.145
O 0.649 0.302 0.406
O 0.689 0.942 0.934
O 0.691 0.591 0.364
O 0.691 0.855 0.601
O 0.698 0.351 0.858
O 0.854 0.364 0.591
O 0.855 0.691 0.352
O 0.858 0.594 0.698
O 0.934 0.935 0.689
O 0.935 0.934 0.942
O 0.942 0.689 0.935
CELL_PARAMETERS angstrom
0.000 6.904 7.106
6.878 0.000 7.106
6.878 6.904 0.000
```

=====

No. 6
The following is a DFT calculation (PBE-GGA) of an optimized crystal structure of NaCu2CS. Values from VASP.

Summary:
DOS(E_F)   0.23 states/eV per atom
ρ   4.183 Mg/m³
Space-group type   P4/mmm (123)
Formation energy without anion corrections   1.110 eV per atom
Size of the total moment   0.000 μB/atom

Quantum ESPRESSO input file:
```
&SYSTEM
  ibrav = 0, nat = 5, ntyp = 4
/
ATOMIC_SPECIES
Na 22.99 Na.upf
Cu 63.55 Cu.upf
C 12.01 C.upf
S 32.06 S.upf
ATOMIC_POSITIONS crystal
Na 0.000 0.000 0.000
Cu 0.000 0.500 0.500
Cu 0.500 0.000 0.500
C 0.500 0.500 0.000
S 0.500 0.500 0.500
CELL_PARAMETERS angstrom
4.541 0.000 0.000
0.000 4.541 0.000
0.000 0.000 3.737
```

=====

No. 7
The following is a DFT calculation (PBE-GGA) of an optimized crystal structure of NaCu2CSe. Values from VASP.

Summary:
DOS(E_F)   0.38 states/eV per atom
ρ   4.405 Mg/m³
Space-group type   P4/mmm (123)
Formation energy without anion corrections   1.209 eV per atom
Size of the total moment   0.000 μB/atom

Quantum ESPRESSO input file:
```
&SYSTEM
  ibrav = 0, nat = 5, ntyp = 4
/
ATOMIC_SPECIES
Na 22.99 Na.upf
Cu 63.55 Cu.upf
C 12.01 C.upf
Se 78.96 Se.upf
ATOMIC_POSITIONS crystal
Na 0.000 0.000 0.000
Cu 0.000 0.500 0.500
Cu 0.500 0.000 0.500
C 0.500 0.500 0.000
Se 0.500 0.500 0.500
CELL_PARAMETERS angstrom
4.704 0.000 0.000
0.000 4.704 0.000
0.000 0.000 4.107
```

=====

No. 8
The following is a DFT calculation (PBE-GGA) of an optimized crystal structure of NaTiCuC2. Values from VASP.

Summary:
DOS(E_F)   0.91 states/eV per atom
ρ   3.594 Mg/m³
Space-group type   P4/mmm (123)
ΔE_f   2.94 eV per atom
Size of the total moment   0.000 μB/atom

Quantum ESPRESSO input file:
```
&SYSTEM
  ibrav = 0, nat = 5, ntyp = 4
/
ATOMIC_SPECIES
Na 22.99 Na.upf
Ti 47.87 Ti.upf
Cu 63.55 Cu.upf
C 12.01 C.upf
ATOMIC_POSITIONS crystal
Na 0.000 0.000 0.000
Ti 0.000 0.000 0.500
Cu 0.500 0.500 0.500
C 0.000 0.500 0.000
C 0.500 0.000 0.000
CELL_PARAMETERS angstrom
4.143 0.000 0.000
0.000 4.143 0.000
0.000 0.000 4.264
```

=====

Q: What is the formula in the eighth record?
A: NaTiCuC2

=====

Q: The highest ρ belongs to which entry?
A: NaCu2CSe

=====

Q: Number 4 is which compound?
A: Na2CuCSO7

=====

Q: Which formula does entry 4 have?
A: Na2CuCSO7